NbOsI2O | PBE | optimized geometry

Volume (Å³/atom): 23.074
Relative energy among the computed polymorphs (kJ per mole of atoms): 0.00
Energy relative to the elements, uncorrected (eV per atom): 0.52
SG: P4/mmm
Total energy (eV/atom): -5.36

Cell lengths 5.570, 5.570, 3.718 Å; angles 90.00, 90.00, 90.00 degrees
Site moments in Bohr magnetons follow the coordinates.
Atoms (fractional coordinates):
I (0.000, 0.500, 0.000)  -0.06
I (0.500, 0.000, 0.000)  -0.06
Nb (0.500, 0.500, 0.500)  2.60
Os (0.000, 0.000, 0.000)  -0.21
O (0.000, 0.000, 0.500)  -0.01

***

NbOsI2O | PBE | optimized geometry

Volume (Å³/atom): 24.477
Relative energy among the computed polymorphs (kJ per mole of atoms): 6.12
Energy relative to the elements, uncorrected (eV per atom): 0.58
SG: P4/mmm
Total energy (eV/atom): -5.29

Cell lengths 5.631, 5.631, 3.860 Å; angles 90.00, 90.00, 90.00 degrees
Site moments in Bohr magnetons follow the coordinates.
Atoms (fractional coordinates):
I (0.000, 0.500, 0.000)  0.06
I (0.500, 0.000, 0.000)  0.06
Nb (0.000, 0.000, 0.000)  -0.28
Os (0.500, 0.500, 0.500)  2.73
O (0.000, 0.000, 0.500)  0.02

***

NbPIO2 | PBE | optimized geometry

Volume (Å³/atom): 17.529
Relative energy among the computed polymorphs (kJ per mole of atoms): 0.00
Energy relative to the elements, uncorrected (eV per atom): -1.10
SG: P4/mmm
Total energy (eV/atom): -6.49

Cell lengths 3.968, 3.968, 5.567 Å; angles 90.00, 90.00, 90.00 degrees
Atoms (fractional coordinates):
I (0.500, 0.500, 0.500)
P (0.000, 0.000, 0.500)
Nb (0.000, 0.000, 0.000)
O (0.000, 0.500, 0.000)
O (0.500, 0.000, 0.000)

***

NbPIO2 | PBE | optimized geometry

Volume (Å³/atom): 18.076
Relative energy among the computed polymorphs (kJ per mole of atoms): 149.08
Energy relative to the elements, uncorrected (eV per atom): 0.44
SG: P4/mmm
Total energy (eV/atom): -4.95

Cell lengths 3.947, 3.947, 5.802 Å; angles 90.00, 90.00, 90.00 degrees
Site moments in Bohr magnetons follow the coordinates.
Atoms (fractional coordinates):
I (0.000, 0.000, 0.000)  0.03
P (0.000, 0.000, 0.500)  -0.10
Nb (0.500, 0.500, 0.500)  1.84
O (0.000, 0.500, 0.000)  0.01
O (0.500, 0.000, 0.000)  0.01